[1]
{"formula": "BaCuPb2", "functional": "PBE-GGA", "state": "relaxed", "dos_at_fermi_per_ev_atom": 0.3042, "space_group": "R-3m, No. 166", "dft_energy_ev_per_atom": -3.5710, "lattice_angstrom": [[2.342, 1.352, 6.528], [-2.342, 1.352, 6.528], [0.000, -2.704, 6.528]], "species": ["Ba", "Cu", "Pb", "Pb"], "frac_coords": [[0.000, 0.000, 0.000], [0.500, 0.500, 0.500], [0.216, 0.216, 0.216], [0.784, 0.784, 0.784]]}

[2]
{"formula": "Pm5Ni2Pd", "functional": "PBE-GGA", "state": "relaxed", "dos_at_fermi_per_ev_atom": 1.0748, "space_group": "I4/mcm, No. 140", "dft_energy_ev_per_atom": -5.4182, "lattice_angstrom": [[-3.861, 3.861, 6.705], [3.861, -3.861, 6.705], [3.861, 3.861, -6.705]], "species": ["Pm", "Pm", "Pm", "Pm", "Pm", "Pm", "Pm", "Pm", "Pm", "Pm", "Ni", "Ni", "Ni", "Ni", "Pd", "Pd"], "frac_coords": [[0.000, 0.000, 0.000], [0.026, 0.526, 0.830], [0.196, 0.026, 0.500], [0.304, 0.804, 0.830], [0.474, 0.304, 0.500], [0.500, 0.500, 0.000], [0.526, 0.696, 0.500], [0.696, 0.196, 0.170], [0.804, 0.974, 0.500], [0.974, 0.474, 0.170], [0.123, 0.377, 0.500], [0.377, 0.877, 0.253], [0.623, 0.123, 0.747], [0.877, 0.623, 0.500], [0.250, 0.250, 0.000], [0.750, 0.750, 0.000]]}

[3]
{"formula": "Tl3Co", "functional": "PBE-GGA", "state": "relaxed", "dos_at_fermi_per_ev_atom": 0.6699, "space_group": "Immm, No. 71", "dft_energy_ev_per_atom": -3.2108, "lattice_angstrom": [[-1.544, 2.234, 7.088], [1.544, -2.234, 7.088], [1.544, 2.234, -7.088]], "species": ["Tl", "Tl", "Tl", "Co"], "frac_coords": [[0.000, 0.000, 0.000], [0.326, 0.826, 0.500], [0.674, 0.174, 0.500], [0.500, 0.500, 0.000]]}

[4]
{"formula": "Dy2Mg2Sc7", "functional": "PBE-GGA", "state": "relaxed", "dos_at_fermi_per_ev_atom": 1.4404, "space_group": "C2/m, No. 12", "dft_energy_ev_per_atom": -4.9776, "lattice_angstrom": [[4.722, -5.233, 0.000], [4.722, 5.233, 0.000], [-2.619, 0.000, 5.795]], "species": ["Dy", "Dy", "Mg", "Mg", "Sc", "Sc", "Sc", "Sc", "Sc", "Sc", "Sc"], "frac_coords": [[0.157, 0.843, 0.000], [0.843, 0.157, 0.000], [0.343, 0.343, 0.541], [0.657, 0.657, 0.459], [0.000, 0.000, 0.500], [0.074, 0.584, 0.313], [0.328, 0.328, 0.017], [0.416, 0.926, 0.687], [0.584, 0.074, 0.313], [0.672, 0.672, 0.983], [0.926, 0.416, 0.687]]}

[5]
{"formula": "Nb2TcBi", "functional": "PBE-GGA", "state": "relaxed", "dos_at_fermi_per_ev_atom": 1.1148, "space_group": "I-42d, No. 122", "dft_energy_ev_per_atom": -7.8487, "lattice_angstrom": [[-2.012, 2.012, 9.986], [2.012, -2.012, 9.986], [2.012, 2.012, -9.986]], "species": ["Nb", "Nb", "Nb", "Nb", "Tc", "Tc", "Bi", "Bi"], "frac_coords": [[0.123, 0.625, 0.998], [0.375, 0.373, 0.498], [0.627, 0.125, 0.002], [0.875, 0.877, 0.502], [0.250, 0.750, 0.500], [0.500, 0.500, 0.000], [0.000, 0.000, 0.000], [0.750, 0.250, 0.500]]}

[6]
{"formula": "SiTeIN2", "functional": "PBE-GGA", "state": "relaxed", "dos_at_fermi_per_ev_atom": 0.6288, "space_group": "P4/mmm, No. 123", "dft_energy_ev_per_atom": -3.7326, "lattice_angstrom": [[4.059, 0.000, 0.000], [0.000, 4.059, 0.000], [0.000, 0.000, 7.938]], "species": ["Si", "Te", "I", "N", "N"], "frac_coords": [[0.000, 0.000, 0.000], [0.500, 0.500, 0.500], [0.500, 0.500, 0.000], [0.000, 0.500, 0.500], [0.500, 0.000, 0.500]]}